{
  "formula": "Zr2TlIr",
  "functional": "PBE",
  "state": "relaxed",
  "lattice": [[3.703, -0.053, 0.024], [2.072, 3.070, 0.024], [1.540, 0.805, 8.124]],
  "species": ["Ir", "Tl", "Zr", "Zr"],
  "fractional_positions": [[0.750, 0.750, 0.750], [0.250, 0.250, 0.250], [0.016, 0.016, 0.950], [0.484, 0.484, 0.550]],
  "space_group": "C2/m, No. 12",
  "de_polymorph_kj_per_mol_atoms": 15.8,
  "e_form_ev_per_atom": -0.259
}